Material: Pm5Cd2Os
Method: DFT, PBE
State: optimized geometry

N(E_F)	14.01	states/eV per cell
total DFT energy (no corrections)	-0.3526	Ry per atom
mass density	8.394	g/cm³
space-group type	No. 55
DFT formation energy	-0.195	eV per atom

abc: 6.8328 12.6589 5.2147
angles: 90.00 90.00 90.00
Atoms (fractional coordinates):
Pm  0.0000  0.0000  0.0000
Pm  0.1271  0.2897  0.0000
Pm  0.1604  0.5939  0.5000
Pm  0.3396  0.0939  0.5000
Pm  0.3729  0.7897  0.0000
Pm  0.5000  0.5000  0.0000
Pm  0.6271  0.2103  0.0000
Pm  0.6604  0.9061  0.5000
Pm  0.8396  0.4061  0.5000
Pm  0.8729  0.7103  0.0000
Cd  0.1141  0.8504  0.5000
Cd  0.3859  0.3504  0.5000
Cd  0.6141  0.6496  0.5000
Cd  0.8859  0.1496  0.5000
Os  0.0000  0.5000  0.0000
Os  0.5000  0.0000  0.0000